A plane-wave DFT calculation with meta-GGA SCAN was carried out for a PBEsol-optimized structure of PmMgAg2.

Cell and atoms, written as extended XYZ:
```
4
Lattice="0.000 3.498 3.498 3.498 0.000 3.498 3.498 3.498 0.000" Properties=species:S:1:pos:R:3 pbc="T T T"
Pm 0.000 0.000 0.000
Mg 3.498 3.498 3.498
Ag 1.749 1.749 1.749
Ag 5.247 5.247 5.247
```

Results
space-group type = Fm-3m, No. 225

---

A plane-wave DFT calculation with meta-GGA SCAN was carried out for a PBEsol-optimized structure of Ca3Se.

Cell and atoms, written as extended XYZ:
```
8
Lattice="-2.285 2.285 12.543 2.285 -2.285 12.543 2.285 2.285 -12.543" Properties=species:S:1:pos:R:3 pbc="T T T"
Ca 2.285 0.000 0.000
Ca 0.000 0.000 3.029
Ca 2.285 0.000 6.271
Ca 0.000 2.285 0.000
Ca 0.000 2.285 6.271
Ca 0.000 0.000 22.057
Se 0.000 0.000 10.562
Se 0.000 0.000 14.524
```

Results
raw formation energy = -2.77 eV/f.u.
space-group type = I4/mmm, No. 139

---

A plane-wave DFT calculation with meta-GGA SCAN was carried out for a PBEsol-optimized structure of Ca2MgHg.

Cell and atoms, written as extended XYZ:
```
4
Lattice="6.168 -1.868 0.000 6.168 1.868 0.000 -2.371 0.000 4.897" Properties=species:S:1:pos:R:3 pbc="T T T"
Ca 0.000 0.000 0.000
Ca 0.861 0.000 3.438
Mg 4.233 0.000 2.083
Hg 8.459 0.000 1.101
```

Results
space-group type = Cm, No. 8

---

A plane-wave DFT calculation with meta-GGA SCAN was carried out for a PBEsol-optimized structure of In3RuCl.

Cell and atoms, written as extended XYZ:
```
5
Lattice="5.083 0.000 0.000 0.000 5.083 0.000 0.000 0.000 5.083" Properties=species:S:1:pos:R:3 pbc="T T T"
In 0.000 0.000 2.542
In 0.000 2.542 0.000
In 2.542 0.000 0.000
Ru 0.000 0.000 0.000
Cl 2.542 2.542 2.542
```

Results
raw formation energy = -1.28 eV/f.u.
space-group type = Pm-3m, No. 221

---

no.,VASP energy (eV/atom)
1,-28.26
2,-12.96
3,-23.50
4,-28.85